Entry 1:
Computed, not measured: a relaxed ZnTcMo2 crystal at the GGA-PBE level of DFT.

The value obtained for the uncorrected energy is -8.133 eV/atom. The magnetization comes out at 0.00 μB per cell. The calculation puts the energy relative to the elements at 0.193 eV/atom.

The structure belongs to space group I-4m2 (No. 119); the cell edges are 3.8825, 3.8825 and 8.0157 Å and the angles 90.00°, 90.00° and 90.00°. The asymmetric unit holds Zn at (0.0000, 0.0000, 0.0000), Tc at (0.0000, 0.5000, 0.2500), Mo at (0.0000, 0.0000, 0.5000) and Mo at (0.0000, 0.5000, 0.7500).

***

Entry 2:
Computed, not measured: a relaxed ZnTcMo crystal at the GGA-PBE level of DFT.

The value obtained for the uncorrected energy is -7.465 eV/atom. The magnetization comes out at 0.00 μB per cell. The calculation puts the energy relative to the elements at 0.026 eV/atom.

The structure belongs to space group I4mm (No. 107); the cell edges are 3.1983, 3.1983 and 8.7443 Å and the angles 90.00°, 90.00° and 90.00°. The asymmetric unit holds Zn at (0.0000, 0.0000, 0.0000), Tc at (0.0000, 0.0000, 0.6723) and Mo at (0.0000, 0.0000, 0.3236).

***

Entry 3:
Computed, not measured: a relaxed ZnTcMo2 crystal at the GGA-PBE level of DFT.

The value obtained for the uncorrected energy is -8.206 eV/atom. The magnetization comes out at 0.00 μB per cell. The calculation puts the energy relative to the elements at 0.120 eV/atom.

The structure belongs to space group Pm (No. 6); the cell edges are 2.6639, 4.4071 and 5.2649 Å and the angles 90.00°, 100.70° and 90.00°. The asymmetric unit holds Zn at (0.0000, 0.0000, 0.0000), Tc at (0.2317, 0.5000, 0.7494), Mo at (0.4436, 0.0000, 0.5060) and Mo at (0.6680, 0.5000, 0.2370).

***

Entry 4:
Computed, not measured: a relaxed ZnTcMo2 crystal at the GGA-PBE level of DFT.

The value obtained for the uncorrected energy is -8.107 eV/atom. The magnetization comes out at 0.00 μB per cell. The calculation puts the energy relative to the elements at 0.218 eV/atom.

The structure belongs to space group P4/mmm (No. 123); the cell edges are 3.2685, 3.2685 and 5.6480 Å and the angles 90.00°, 90.00° and 90.00°. The asymmetric unit holds Zn at (0.0000, 0.0000, 0.0000), Tc at (0.0000, 0.0000, 0.5000) and Mo at (0.5000, 0.5000, 0.2417).

***

Entry 5:
Computed, not measured: a relaxed ZnTcMo2 crystal at the GGA-PBE level of DFT.

The value obtained for the uncorrected energy is -8.200 eV/atom. The magnetization comes out at 0.00 μB per cell. The calculation puts the energy relative to the elements at 0.125 eV/atom.

The structure belongs to space group Imm2 (No. 44); the cell edges are 3.1655, 4.3834 and 8.7727 Å and the angles 90.00°, 90.00° and 90.00°. The asymmetric unit holds Zn at (0.0000, 0.0000, 0.0000), Tc at (0.0000, 0.5000, 0.2408), Mo at (0.0000, 0.0000, 0.5033) and Mo at (0.0000, 0.5000, 0.7650).

***

Entry 6:
Computed, not measured: a relaxed ZnTc3Mo crystal at the GGA-PBE level of DFT.

The value obtained for the uncorrected energy is -6.951 eV/atom. The magnetization comes out at 2.19 μB per cell. The calculation puts the energy relative to the elements at 1.689 eV/atom.

The structure belongs to space group Pm-3m (No. 221); the cell edges are 4.6752, 4.6752 and 4.6752 Å and the angles 90.00°, 90.00° and 90.00°. The asymmetric unit holds Zn at (0.0000, 0.0000, 0.0000), Tc at (0.0000, 0.5000, 0.5000) and Mo at (0.5000, 0.5000, 0.5000).

***

Entry 7:
Computed, not measured: a relaxed ZnTcMo2 crystal at the GGA-PBE level of DFT.

The value obtained for the uncorrected energy is -8.176 eV/atom. The magnetization comes out at 0.00 μB per cell. The calculation puts the energy relative to the elements at 0.149 eV/atom.

The structure belongs to space group P4/mmm (No. 123); the cell edges are 3.8955, 3.8955 and 3.9446 Å and the angles 90.00°, 90.00° and 90.00°. The asymmetric unit holds Zn at (0.0000, 0.0000, 0.0000), Tc at (0.5000, 0.5000, 0.0000) and Mo at (0.0000, 0.5000, 0.5000).

***

Entry 8:
Computed, not measured: a relaxed Zn2Tc2Mo crystal at the GGA-PBE level of DFT.

The value obtained for the uncorrected energy is -6.227 eV/atom. The magnetization comes out at 0.01 μB per cell. The calculation puts the energy relative to the elements at 0.595 eV/atom.

The structure belongs to space group I4/mmm (No. 139); the cell edges are 3.6024, 3.6024 and 11.9399 Å and the angles 90.00°, 90.00° and 90.00°. The asymmetric unit holds Zn at (0.0000, 0.0000, 0.0940), Tc at (0.0000, 0.5000, 0.2500) and Mo at (0.0000, 0.0000, 0.5000).

***

Entry 9:
Computed, not measured: a relaxed ZnTcMo2 crystal at the GGA-PBE level of DFT.

The value obtained for the uncorrected energy is -8.180 eV/atom. The magnetization comes out at 0.00 μB per cell. The calculation puts the energy relative to the elements at 0.145 eV/atom.

The structure belongs to space group Cmmm (No. 65); the cell edges are 3.1436, 4.3575 and 8.9356 Å and the angles 90.00°, 90.00° and 90.00°. The asymmetric unit holds Zn at (0.0000, 0.0000, 0.0000), Tc at (0.0000, 0.0000, 0.5000) and Mo at (0.0000, 0.5000, 0.2534).

***

Entry 10:
Computed, not measured: a relaxed ZnTcMo2 crystal at the GGA-PBE level of DFT.

The value obtained for the uncorrected energy is -8.179 eV/atom. The magnetization comes out at 0.00 μB per cell. The calculation puts the energy relative to the elements at 0.146 eV/atom.

The structure belongs to space group P4mm (No. 99); the cell edges are 3.2569, 3.2569 and 5.6914 Å and the angles 90.00°, 90.00° and 90.00°. The asymmetric unit holds Zn at (0.0000, 0.0000, 0.0000), Tc at (0.5000, 0.5000, 0.7619), Mo at (0.0000, 0.0000, 0.5042) and Mo at (0.5000, 0.5000, 0.2459).

***

Entry 11:
Computed, not measured: a relaxed ZnTcMo crystal at the GGA-PBE level of DFT.

The value obtained for the uncorrected energy is -7.411 eV/atom. The magnetization comes out at 0.00 μB per cell. The calculation puts the energy relative to the elements at 0.079 eV/atom.

The structure belongs to space group C2/m (No. 12); the cell edges are 7.5026, 4.3160 and 5.4864 Å and the angles 90.00°, 90.29° and 90.00°. The asymmetric unit holds Zn at (0.1659, 0.0000, 0.0744), Tc at (0.0010, 0.5000, 0.7500) and Mo at (0.1668, 0.0000, 0.5894).

***

Entry 12:
Computed, not measured: a relaxed ZnTcMo2 crystal at the GGA-PBE level of DFT.

The value obtained for the uncorrected energy is -7.645 eV/atom. The magnetization comes out at 0.00 μB per cell. The calculation puts the energy relative to the elements at 0.680 eV/atom.

The structure belongs to space group I-42d (No. 122); the cell edges are 7.1642, 7.1642 and 5.2598 Å and the angles 90.00°, 90.00° and 90.00°. The asymmetric unit holds Zn at (0.0000, 0.0000, 0.0000), Tc at (0.0000, 0.0000, 0.5000) and Mo at (0.2162, 0.7500, 0.6250).